# 1
A geometry-optimized BaNaNdHg structure, computed with PBE-GGA.

Cell and atoms, written as extended XYZ:
```
4
Lattice="5.8154 0.0000 0.0000 2.9077 5.0363 0.0000 2.9077 1.6788 4.7483" Properties=species:S:1:pos:R:3 pbc="T T T"
Nd 8.7231 5.0363 3.5612
Ba 2.9077 1.6788 1.1871
Hg 5.8154 3.3575 2.3741
Na 0.0000 0.0000 0.0000
```

Output
Formation enthalpy at 0 K, meV per atom: -54



# 2
A geometry-optimized Cd2OsO6 structure, computed with PBE-GGA.

Cell and atoms, written as extended XYZ:
```
18
Lattice="-0.8582 -2.5896 4.1665 -0.2248 -4.2046 -2.6596 9.7873 -1.2909 1.2136" Properties=species:S:1:pos:R:3 pbc="T T T"
O 4.1837 -3.6131 3.1755
O 3.2076 -2.6229 0.9182
O 2.8114 -5.1080 1.4694
O 8.1040 -5.0231 -0.3641
O -0.2880 -1.8068 0.4007
O 4.5206 -4.4720 -0.4550
O 5.4967 -5.4622 1.8023
O 5.8928 -2.9771 1.2511
O 0.6003 -3.0621 3.0846
O 1.0020 -4.0863 -1.2447
O 7.7023 -3.9988 3.9652
O -0.7950 -4.9874 1.1062
Os 4.3521 -4.0426 1.3603
Os 0.0000 0.0000 0.0000
Cd 6.4786 -0.8545 0.8033
Cd 3.3086 -0.4364 0.4102
Cd 7.6608 -4.4790 1.7705
Cd 1.0435 -3.6062 0.9500
```

Output
Formation energy from raw total energies, meV per atom: -887



# 3
A geometry-optimized KNiW2 structure, computed with PBE-GGA.

Cell and atoms, written as extended XYZ:
```
4
Lattice="-5.6802 -0.6668 0.6552 -2.4777 -4.3098 2.9028 4.1660 3.9461 0.4598" Properties=species:S:1:pos:R:3 pbc="T T T"
W 0.0000 0.0000 0.0000
W -4.0790 -2.4883 1.7790
K -1.1953 -1.4260 2.5707
Ni -2.7966 0.3955 1.4469
```

Output
E above lowest polymorph, meV/atom: 929
Formation enthalpy at 0 K, meV per atom: 1645



# 4
A geometry-optimized Cr2CuNiH structure, computed with PBE-GGA.

Cell and atoms, written as extended XYZ:
```
5
Lattice="-1.4613 -2.7722 -1.6235 1.1802 -2.1221 2.5613 -3.2857 0.5692 1.9856" Properties=species:S:1:pos:R:3 pbc="T T T"
Cr 0.5901 -1.0610 1.2806
Cr -0.7307 -1.3861 -0.8117
H 0.0000 0.0000 0.0000
Ni -1.7834 -2.1625 1.4617
Cu -1.6429 0.2846 0.9928
```

Output
E above lowest polymorph, meV/atom: 27



# 5
A geometry-optimized Sc2PtS structure, computed with PBE-GGA.

Cell and atoms, written as extended XYZ:
```
8
Lattice="6.7898 0.0000 0.0000 0.0000 6.7898 0.0000 3.3949 3.3949 3.6920" Properties=species:S:1:pos:R:3 pbc="T T T"
Sc 8.4873 8.4219 2.7690
Sc 1.7629 5.0924 0.9230
Sc 5.0270 1.6975 0.9230
Sc 5.0924 5.1578 2.7690
Pt 6.7898 3.3949 1.8460
Pt 0.0000 0.0000 0.0000
S 3.3949 6.7898 1.8460
S 3.3949 3.3949 0.0000
```

Output
Formation energy from raw total energies, meV per atom: -1101



# 6
A geometry-optimized CaRh2Br structure, computed with PBE-GGA.

Cell and atoms, written as extended XYZ:
```
8
Lattice="-4.3984 -1.7980 1.3353 2.0128 -1.8832 4.0944 -2.7957 5.0034 6.6506" Properties=species:S:1:pos:R:3 pbc="T T T"
Rh -5.8580 2.0976 6.3340
Rh -3.9371 -0.4111 3.2339
Rh -3.6484 -1.6460 5.4989
Rh -3.3304 2.6893 6.3345
Ca -0.9879 0.6399 6.7299
Ca -1.1928 -1.8406 2.7148
Br -4.1935 0.6825 5.3503
Br 0.0000 0.0000 0.0000
```

Output
E above lowest polymorph, meV/atom: 380
Formation energy from raw total energies, meV per atom: 68



# 7
A geometry-optimized MgAl2P structure, computed with PBE-GGA.

Cell and atoms, written as extended XYZ:
```
4
Lattice="-1.1946 1.3085 -4.2816 -4.4062 -0.3601 -1.3881 -2.5502 3.8173 -0.6293" Properties=species:S:1:pos:R:3 pbc="T T T"
Al 0.0000 0.0000 0.0000
Al -2.0377 1.1914 -1.5747
P -6.1132 3.5743 -4.7242
Mg -4.0754 2.3828 -3.1494
```

Output
E above lowest polymorph, meV/atom: 293
Formation enthalpy at 0 K, meV per atom: 142



# 8
A geometry-optimized TmAlAg structure, computed with PBE-GGA.

Cell and atoms, written as extended XYZ:
```
6
Lattice="-2.1666 -0.9920 -3.8663 -1.2436 -5.5344 -0.5506 -5.7908 -0.2566 0.6434" Properties=species:S:1:pos:R:3 pbc="T T T"
Al -6.4685 -4.7585 -0.4892
Al -2.7325 -2.0245 -3.2843
Ag -6.7394 -4.4691 -3.0791
Ag -2.4616 -2.3139 -0.6944
Tm -3.6740 -4.8681 -2.0270
Tm -5.5269 -1.9149 -1.7464
```

Output
Formation enthalpy at 0 K, meV per atom: -390



M_tot / μB/cell: 0.0; 0.0; 0.0; 0.4; 0.0; 0.0; 0.0; 0.0